Record 1
InPF2 | PBE | optimized geometry

Cell lengths 4.4382, 4.4382, 4.4382 Å; angles 60.00, 60.00, 60.00 degrees
Last column: magnetic moment on the atom in μB.
Positions (direct):
F 0.7500 0.7500 0.7500  0.17
F 0.2500 0.2500 0.2500  0.17
P 0.0000 0.0000 0.0000  0.72
In 0.5000 0.5000 0.5000  0.01

Calculated values
Its density of states at the Fermi level is 2.53 states/eV/f.u. The total magnetization is 1.844 μB per formula unit. As for the energy relative to the elements, uncorrected: -213 kJ/mol of formula units. As for the symmetry: Fm-3m, No. 225. The value obtained for the theoretical density is 4.94 Mg/m³.



Record 2
InP2F | PBE | optimized geometry

Cell lengths 3.5247, 3.5247, 11.9719 Å; angles 81.53, 81.53, 90.00 degrees
Positions (direct):
P 0.5714 0.1250 0.2500
P 0.1786 0.6250 0.2500
P 0.3750 0.4286 0.7500
P 0.8750 0.8214 0.7500
In 0.0000 0.0000 0.0000
In 0.7500 0.2500 0.5000
F 0.5000 0.5000 0.0000
F 0.2500 0.7500 0.5000

Calculated values
Its density of states at the Fermi level is 1.66 states/eV/f.u. The total magnetization is 0.000 μB per formula unit. As for the energy relative to the elements, uncorrected: -194 kJ/mol of formula units. As for the symmetry: I-42d, No. 122. The value obtained for the theoretical density is 4.47 Mg/m³.



Question: What is the theoretical density in the first record?
Answer: 4.94 Mg/m³



Question: Among the records above, which one has the highest energy relative to the elements, uncorrected?
Answer: InP2F



What did the first record say?
InPF2 | PBE | optimized geometry

Cell lengths 4.4382, 4.4382, 4.4382 Å; angles 60.00, 60.00, 60.00 degrees
Last column: magnetic moment on the atom in μB.
Positions (direct):
F 0.7500 0.7500 0.7500  0.17
F 0.2500 0.2500 0.2500  0.17
P 0.0000 0.0000 0.0000  0.72
In 0.5000 0.5000 0.5000  0.01

Calculated values
Its density of states at the Fermi level is 2.53 states/eV/f.u. The total magnetization is 1.844 μB per formula unit. As for the energy relative to the elements, uncorrected: -213 kJ/mol of formula units. As for the symmetry: Fm-3m, No. 225. The value obtained for the theoretical density is 4.94 Mg/m³.



Question: The lowest energy relative to the elements, uncorrected belongs to which entry?
Answer: InPF2